Entry 1:
A plane-wave DFT calculation with GGA-PBE was carried out for NaCd2CuPb after structural relaxation.

E = -2.10 eV per atom
energy of formation = 89 meV per atom

a b c (Å): 5.1198 5.1198 5.1897
angles (deg): 90.00 90.00 90.00
Closest atoms and distances in Å follow each position.
Positions (direct):
Pb: 0.0000 0.0000 0.5000  2 Cu 2.59
Na: 0.5000 0.5000 0.5000  4 Pb 3.62, 8 Cd 3.65
Cu: 0.0000 0.0000 0.0000  4 Cd 2.56, 2 Pb 2.59
Cd: 0.0000 0.5000 0.0000  2 Cu 2.56
Cd: 0.5000 0.0000 0.0000  2 Cu 2.56

Entry 2:
A plane-wave DFT calculation with GGA-PBE was carried out for NaCdCuPb after structural relaxation.

E = -2.41 eV per atom
energy of formation = 103 meV per atom

a b c (Å): 4.9626 4.9626 4.9626
angles (deg): 60.00 60.00 60.00
Closest atoms and distances in Å follow each position.
Positions (direct):
Pb: 0.7500 0.7500 0.7500  4 Na 3.04, 4 Cu 3.04
Na: 0.5000 0.5000 0.5000  4 Cd 3.04, 4 Pb 3.04
Cu: 0.0000 0.0000 0.0000  4 Pb 3.04, 4 Cd 3.04
Cd: 0.2500 0.2500 0.2500  4 Cu 3.04, 4 Na 3.04

Which of these has the highest energy of formation?
NaCdCuPb

E of number 2 (NaCdCuPb)?
-2.41 eV per atom

Which of these has the highest energy of formation?
NaCdCuPb

Copy entry 2 word for word.
A plane-wave DFT calculation with GGA-PBE was carried out for NaCdCuPb after structural relaxation.

E = -2.41 eV per atom
energy of formation = 103 meV per atom

a b c (Å): 4.9626 4.9626 4.9626
angles (deg): 60.00 60.00 60.00
Closest atoms and distances in Å follow each position.
Positions (direct):
Pb: 0.7500 0.7500 0.7500  4 Na 3.04, 4 Cu 3.04
Na: 0.5000 0.5000 0.5000  4 Cd 3.04, 4 Pb 3.04
Cu: 0.0000 0.0000 0.0000  4 Pb 3.04, 4 Cd 3.04
Cd: 0.2500 0.2500 0.2500  4 Cu 3.04, 4 Na 3.04